DFT (GGA+U) results for K2Ho2CrO6 after structural relaxation.

Unit cell a=5.7347 b=9.7482 c=6.5784 alpha=90.00 beta=105.67 gamma=90.00
With the nearest neighbours (Å) after each atom.
Space group C2/m (No. 12)
Asymmetric unit:
K: 0.0000 0.1615 0.0000 [4 per cell]  6 O 2.73-3.02
Ho: 0.0000 0.3360 0.5000 [4 per cell]  6 O 2.25-2.29
Cr: 0.0000 0.0000 0.5000 [2 per cell]  6 O 1.99-2.05
O: 0.1982 0.1495 0.6674 [8 per cell]  1 Cr 1.99
O: 0.2478 0.0000 0.3265 [4 per cell]  1 Cr 2.05, 2 Ho 2.25

Values from the calculation:
ρ	5.22	Mg/m³
uncorrected energy	-6.85	eV/atom